# CaPRu2

A relaxed structure of CaPRu2 (PBE, the Alexandria database).

Fermi-level density of states, states/eV/cell: 3.478
VASP energy, eV/atom: -6.638
Calculated density, g/cm³: 6.5
Space group: Pm (6)
DFT formation energy, eV/atom: -0.15

abc: 3.0875 4.3746 5.3052
angles: 90.00 102.65 90.00
Last column: nearest neighbours and their distance in Å.
Positions (direct):
Ca 0.0000 0.0000 0.0000  3 Ru 2.72-3.00, 2 P 3.02
P 0.5955 0.5000 0.2758  4 Ru 2.29-2.44
Ru 0.2168 0.5000 0.6053  2 P 2.29-2.31
Ru 0.6474 0.0000 0.4837  2 P 2.44, 2 Ru 2.71, 1 Ca 2.72

=====

# CaP2Ru

A relaxed structure of CaP2Ru (PBE, the Alexandria database).

Fermi-level density of states, states/eV/cell: 2.478
VASP energy, eV/atom: -5.982
Calculated density, g/cm³: 4.8
Space group: Imm2 (44)
E above lowest polymorph, meV/atom: 248
DFT formation energy, eV/atom: -0.46

abc: 7.0731 7.0731 7.0731
angles: 155.39 151.26 38.19
Last column: nearest neighbours and their distance in Å.
Positions (direct):
Ca 0.0000 0.0000 0.0000  6 P 2.84-2.86, 2 Ca 3.01
P 0.3312 0.8312 0.5000  4 Ru 2.50
P 0.6236 0.6236 0.0000  2 Ru 2.37
Ru 0.7605 0.2605 0.5000  6 P 2.37-2.50

=====

# CaP2Ru

A relaxed structure of CaP2Ru (PBE, the Alexandria database).

Fermi-level density of states, states/eV/cell: 1.117
VASP energy, eV/atom: -5.281
Calculated density, g/cm³: 5.2
Space group: F-43m (216)
E above lowest polymorph, meV/atom: 949
DFT formation energy, eV/atom: 0.24

abc: 4.5078 4.5078 4.5078
angles: 60.00 60.00 60.00
Last column: nearest neighbours and their distance in Å.
Positions (direct):
Ca 0.0000 0.0000 0.0000  4 Ru 2.76, 4 P 2.76
P 0.5000 0.5000 0.5000  4 Ru 2.76, 4 P 2.76
P 0.7500 0.7500 0.7500  4 Ca 2.76, 4 P 2.76
Ru 0.2500 0.2500 0.2500  4 Ca 2.76, 4 P 2.76

=====

# CaP2Ru

A relaxed structure of CaP2Ru (PBE, the Alexandria database).

Fermi-level density of states, states/eV/cell: 1.361
VASP energy, eV/atom: -6.001
Calculated density, g/cm³: 4.8
Space group: Pmmm (47)
E above lowest polymorph, meV/atom: 229
DFT formation energy, eV/atom: -0.48

abc: 3.2110 4.0355 5.4650
angles: 90.00 90.00 90.00
Last column: nearest neighbours and their distance in Å.
Positions (direct):
Ca 0.0000 0.0000 0.0000  8 P 3.00, 4 Ru 3.17, 2 Ca 3.21
P 0.5000 0.5000 0.2810  2 Ru 2.35, 1 P 2.39
P 0.5000 0.5000 0.7190  2 Ru 2.35, 1 P 2.39
Ru 0.5000 0.0000 0.5000  4 P 2.35

=====

# CaP2Ru

A relaxed structure of CaP2Ru (PBE, the Alexandria database).

Fermi-level density of states, states/eV/cell: 1.140
VASP energy, eV/atom: -6.230
Calculated density, g/cm³: 4.8
Space group: R-3m (166)
E above lowest polymorph, meV/atom: 0
DFT formation energy, eV/atom: -0.71

abc: 5.4724 5.4724 5.4724
angles: 43.21 43.21 43.21
Last column: nearest neighbours and their distance in Å.
Positions (direct):
Ca 0.0000 0.0000 0.0000  8 P 2.93-3.18
P 0.2137 0.2137 0.2137  3 Ru 2.43, 3 P 2.71
P 0.7863 0.7863 0.7863  3 Ru 2.43, 3 P 2.71
Ru 0.5000 0.5000 0.5000  6 P 2.43

=====

# CaP2Ru

A relaxed structure of CaP2Ru (PBE, the Alexandria database).

Fermi-level density of states, states/eV/cell: 3.196
VASP energy, eV/atom: -6.051
Calculated density, g/cm³: 3.9
Space group: Amm2 (38)
E above lowest polymorph, meV/atom: 179
DFT formation energy, eV/atom: -0.53

abc: 4.1625 5.9114 5.9114
angles: 36.49 90.00 90.00
Last column: nearest neighbours and their distance in Å.
Positions (direct):
Ca 0.0000 0.0000 0.0000  6 P 2.92-3.02, 2 Ru 3.24
P 0.0000 0.2985 0.2985  2 Ru 2.25
P 0.5000 0.6046 0.6046  2 Ru 2.27
Ru 0.5000 0.2217 0.2217  4 P 2.25-2.27

=====

# CaP2Ru

A relaxed structure of CaP2Ru (PBE, the Alexandria database).

Fermi-level density of states, states/eV/cell: 2.320
VASP energy, eV/atom: -5.468
Calculated density, g/cm³: 4.8
Space group: R3m (160)
E above lowest polymorph, meV/atom: 762
DFT formation energy, eV/atom: 0.06

abc: 8.1085 8.1085 8.1085
angles: 22.71 22.71 22.71
Last column: nearest neighbours and their distance in Å.
Positions (direct):
Ca 0.0000 0.0000 0.0000  3 P 2.94, 3 Ru 3.03, 6 Ca 3.19
P 0.2365 0.2365 0.2365  3 P 2.52
P 0.4970 0.4970 0.4970  3 Ru 2.36, 3 P 2.52
Ru 0.7682 0.7682 0.7682  3 P 2.36

=====

# CaP4Ru4

A relaxed structure of CaP4Ru4 (PBE, the Alexandria database).

Fermi-level density of states, states/eV/cell: 8.606
VASP energy, eV/atom: -7.307
Calculated density, g/cm³: 6.9
Space group: P4_2/nmc (137)
DFT formation energy, eV/atom: -0.56

abc: 5.9574 5.9574 7.7404
angles: 90.00 90.00 90.00
Last column: nearest neighbours and their distance in Å.
Positions (direct):
Ca 0.2500 0.7500 0.2500  4 P 3.04, 4 Ru 3.32
Ca 0.7500 0.2500 0.7500  4 P 3.04, 4 Ru 3.32
P 0.0421 0.2500 0.0725  5 Ru 2.34-2.41, 1 P 2.48
P 0.2500 0.0421 0.5725  5 Ru 2.34-2.41, 1 P 2.48
P 0.2500 0.4579 0.5725  5 Ru 2.34-2.41, 1 P 2.48
P 0.4579 0.2500 0.0725  5 Ru 2.34-2.41, 1 P 2.48
P 0.5421 0.7500 0.9275  5 Ru 2.34-2.41, 1 P 2.48
P 0.7500 0.5421 0.4275  5 Ru 2.34-2.41, 1 P 2.48
P 0.7500 0.9579 0.4275  5 Ru 2.34-2.41, 1 P 2.48
P 0.9579 0.7500 0.9275  5 Ru 2.34-2.41, 1 P 2.48
Ru 0.0172 0.2500 0.3739  5 P 2.34-2.41
Ru 0.2500 0.0172 0.8739  5 P 2.34-2.41
Ru 0.2500 0.4828 0.8739  5 P 2.34-2.41
Ru 0.4828 0.2500 0.3739  5 P 2.34-2.41
Ru 0.5172 0.7500 0.6261  5 P 2.34-2.41
Ru 0.7500 0.5172 0.1261  5 P 2.34-2.41
Ru 0.7500 0.9828 0.1261  5 P 2.34-2.41
Ru 0.9828 0.7500 0.6261  5 P 2.34-2.41

=====

> Number 8 is which compound?

CaP4Ru4